i:
The following is a PBE calculation of a relaxed HfTi2MoH crystal, from Alexandria via LeMat-Bulk.

a = 3.9629 Å, b = 3.9629 Å, c = 4.6678 Å
α = 90.00°, β = 90.00°, γ = 90.00°
Atoms (fractional coordinates):
Hf1 0.5000 0.5000 0.5000
Ti1 0.5000 0.0000 0.0000
H1 0.0000 0.0000 0.0000
Mo1 0.0000 0.0000 0.5000
Ti2 0.0000 0.5000 0.0000

D(E_F) (states/eV per cell): 6.5
Space group: P4/mmm, No. 123
Crystal system: tetragonal

***

ii:
The following is a PBE calculation of a relaxed HfTi2MoH crystal, from Alexandria via LeMat-Bulk.

a = 4.3463 Å, b = 4.3463 Å, c = 3.8738 Å
α = 90.00°, β = 90.00°, γ = 90.00°
Atoms (fractional coordinates):
Ti1 0.5000 0.0000 0.0000
Ti2 0.0000 0.5000 0.0000
Mo1 0.5000 0.5000 0.5000
H1 0.0000 0.0000 0.0000
Hf1 0.0000 0.0000 0.5000

D(E_F) (states/eV per cell): 8.4
Space group: P4/mmm, No. 123
Crystal system: tetragonal

***

Which structure above is the least stable? It is ii.